Entry i
LaSn3Sb | PBE | optimized geometry

Summary:
Its symmetry is Pm-3m. Its magnetization is 0.00 μB/cell.

a = 5.980 Å, b = 5.980 Å, c = 5.980 Å
α = 90.00°, β = 90.00°, γ = 90.00°
Atoms (fractional coordinates):
La 0.000 0.000 0.000
Sn 0.000 0.000 0.500
Sn 0.000 0.500 0.000
Sn 0.500 0.000 0.000
Sb 0.500 0.500 0.500

---

Entry ii
LaSn3Sb | PBE | optimized geometry

Summary:
Its symmetry is Pm-3m. Its magnetization is 0.00 μB/cell.

a = 5.651 Å, b = 5.651 Å, c = 5.651 Å
α = 90.00°, β = 90.00°, γ = 90.00°
Atoms (fractional coordinates):
La 0.000 0.000 0.000
Sn 0.000 0.500 0.500
Sn 0.500 0.000 0.500
Sn 0.500 0.500 0.000
Sb 0.500 0.500 0.500

---

Which one is most stable, and which one is least stable? entry ii is the most stable of them, while entry i is the least stable.

---

Entry i
LaSnSb2Te | PBE | optimized geometry

Summary:
Its symmetry is P4/mmm. Its magnetization is 0.00 μB/cell.

a = 6.027 Å, b = 6.027 Å, c = 6.034 Å
α = 90.00°, β = 90.00°, γ = 90.00°
Atoms (fractional coordinates):
La 0.000 0.000 0.000
Sn 0.500 0.500 0.500
Sb 0.000 0.500 0.000
Sb 0.500 0.000 0.000
Te 0.000 0.000 0.500

---

Entry ii
LaSnSb2Te | PBE | optimized geometry

Summary:
Its symmetry is P4/mmm. Its magnetization is 0.00 μB/cell.

a = 5.582 Å, b = 5.582 Å, c = 5.705 Å
α = 90.00°, β = 90.00°, γ = 90.00°
Atoms (fractional coordinates):
La 0.000 0.000 0.000
Sn 0.500 0.500 0.500
Sb 0.000 0.500 0.500
Sb 0.500 0.000 0.500
Te 0.500 0.500 0.000

---

Which one is most stable, and which one is least stable? entry ii is the most stable of them, while entry i is the least stable.

---

Entry i
LaSnSbTe2 | PBE | optimized geometry

Summary:
Its symmetry is P4/mmm. Its magnetization is 0.00 μB/cell.

a = 6.064 Å, b = 6.064 Å, c = 6.063 Å
α = 90.00°, β = 90.00°, γ = 90.00°
Atoms (fractional coordinates):
La 0.000 0.000 0.000
Sn 0.500 0.500 0.500
Sb 0.000 0.000 0.500
Te 0.000 0.500 0.000
Te 0.500 0.000 0.000

---

Entry ii
LaSnSbTe2 | PBE | optimized geometry

Summary:
Its symmetry is P4/mmm. Its magnetization is 0.00 μB/cell.

a = 5.667 Å, b = 5.667 Å, c = 5.577 Å
α = 90.00°, β = 90.00°, γ = 90.00°
Atoms (fractional coordinates):
La 0.000 0.000 0.000
Sn 0.500 0.500 0.500
Sb 0.500 0.500 0.000
Te 0.000 0.500 0.500
Te 0.500 0.000 0.500

---

Which one is most stable, and which one is least stable? entry ii is the most stable of them, while entry i is the least stable.

---

Entry i
SrLa2Sb2 | PBE | optimized geometry

Summary:
Its symmetry is P4/mbm. Its magnetization is 0.00 μB/cell.

a = 8.795 Å, b = 8.795 Å, c = 4.389 Å
α = 90.00°, β = 90.00°, γ = 90.00°
Atoms (fractional coordinates):
Sr 0.000 0.000 0.000
Sr 0.500 0.500 0.000
La 0.151 0.349 0.500
La 0.349 0.849 0.500
La 0.651 0.151 0.500
La 0.849 0.651 0.500
Sb 0.149 0.649 0.000
Sb 0.351 0.149 0.000
Sb 0.649 0.851 0.000
Sb 0.851 0.351 0.000

---

Entry ii
SrLa2Sb2 | PBE | optimized geometry

Summary:
Its symmetry is I4/mmm. Its magnetization is 0.00 μB/cell.

a = 4.836 Å, b = 4.836 Å, c = 15.041 Å
α = 90.00°, β = 90.00°, γ = 90.00°
Atoms (fractional coordinates):
Sr 0.000 0.000 0.000
Sr 0.500 0.500 0.500
La 0.000 0.500 0.250
La 0.000 0.500 0.750
La 0.500 0.000 0.250
La 0.500 0.000 0.750
Sb 0.000 0.000 0.396
Sb 0.000 0.000 0.604
Sb 0.500 0.500 0.104
Sb 0.500 0.500 0.896

---

Entry iii
SrLa2Sb2 | PBE | optimized geometry

Summary:
Its symmetry is P4/mbm. Its magnetization is 0.00 μB/cell.

a = 9.052 Å, b = 9.052 Å, c = 4.060 Å
α = 90.00°, β = 90.00°, γ = 90.00°
Atoms (fractional coordinates):
Sr 0.000 0.000 0.000
Sr 0.500 0.500 0.000
La 0.128 0.372 0.000
La 0.372 0.872 0.000
La 0.628 0.128 0.000
La 0.872 0.628 0.000
Sb 0.171 0.671 0.500
Sb 0.329 0.171 0.500
Sb 0.671 0.829 0.500
Sb 0.829 0.329 0.500

---

Which one is most stable, and which one is least stable? entry i is the most stable of them, while entry ii is the least stable.